Compound: Nb5Rh
Source: the Alexandria database
Functional: PBE-GGA
Structure: relaxed

a = 4.6087 Å, b = 9.8814 Å, c = 4.6187 Å
α = 90.00°, β = 90.00°, γ = 90.00°
Last column: nearest neighbours and their distance in Å.
Element x y z (fractional)
Nb 0.0000 0.0000 0.0000  8 Nb 2.83
Nb 0.0000 0.1649 0.5000  2 Rh 2.82, 6 Nb 2.83-2.85
Nb 0.0000 0.3345 0.0000  6 Nb 2.83-2.85, 2 Rh 2.83
Nb 0.0000 0.6655 0.0000  6 Nb 2.83-2.85, 2 Rh 2.83
Nb 0.0000 0.8351 0.5000  2 Rh 2.82, 6 Nb 2.83-2.85
Nb 0.5000 0.1655 0.0000  6 Nb 2.83-2.85, 2 Rh 2.83
Nb 0.5000 0.3351 0.5000  2 Rh 2.82, 6 Nb 2.83-2.85
Nb 0.5000 0.5000 0.0000  8 Nb 2.83
Nb 0.5000 0.6649 0.5000  2 Rh 2.82, 6 Nb 2.83-2.85
Nb 0.5000 0.8345 0.0000  6 Nb 2.83-2.85, 2 Rh 2.83
Rh 0.0000 0.5000 0.5000  8 Nb 2.82-2.83
Rh 0.5000 0.0000 0.5000  8 Nb 2.82-2.83

Calculated values
calculated volume: 17.53 Å³ per atom
DOS(E_F): 8.50 states/eV per cell
excess energy over the best structure of this formula in the dataset: 9 meV/atom
energy of formation from the pure elements: -108 kJ/mol of formula units
M_tot: 0.0 μB/f.u.
total DFT energy (no corrections): -0.360 hartree per atom

=====

Compound: FeNiPt2
Source: the Alexandria database
Functional: PBE-GGA
Structure: relaxed

a = 2.7068 Å, b = 3.7548 Å, c = 5.4498 Å
α = 90.00°, β = 90.00°, γ = 90.00°
Last column: nearest neighbours and their distance in Å.
Element x y z (fractional)
Fe 0.0000 0.0000 0.0000  5 Pt 2.56-2.66, 4 Ni 2.64, 2 Fe 2.71
Ni 0.5000 0.5000 0.2349  6 Pt 2.60-2.85, 4 Fe 2.64, 2 Ni 2.71
Pt 0.0000 0.0000 0.4689  1 Fe 2.56, 4 Ni 2.64, 6 Pt 2.71-2.80
Pt 0.5000 0.5000 0.7581  2 Ni 2.60-2.85, 4 Fe 2.66, 6 Pt 2.71-2.80

Calculated values
calculated volume: 13.85 Å³ per atom
DOS(E_F): 4.15 states/eV per cell
energy of formation from the pure elements: -60 kJ/mol of formula units
M_tot: 4.5 μB/f.u.
total DFT energy (no corrections): -0.248 hartree per atom

=====

Compound: KPb3
Source: the Alexandria database
Functional: PBE-GGA
Structure: relaxed

a = 3.8406 Å, b = 4.6733 Å, c = 7.8209 Å
α = 90.00°, β = 90.00°, γ = 90.00°
Last column: nearest neighbours and their distance in Å.
Element x y z (fractional)
K 0.0000 0.0000 0.0000  10 Pb 3.82-3.91, 2 K 3.84
Pb 0.0000 0.0000 0.5000  8 Pb 3.41
Pb 0.5000 0.5000 0.2985  5 Pb 3.15-3.41
Pb 0.5000 0.5000 0.7015  5 Pb 3.15-3.41

Calculated values
calculated volume: 35.09 Å³ per atom
DOS(E_F): 1.73 states/eV per cell
energy of formation from the pure elements: -38 kJ/mol of formula units
M_tot: 0.0 μB/f.u.
total DFT energy (no corrections): -0.116 hartree per atom

=====

Compound: Dy4SbPd
Source: the Alexandria database
Functional: PBE-GGA
Structure: relaxed

a = 6.0841 Å, b = 6.5778 Å, c = 8.7686 Å
α = 90.00°, β = 110.15°, γ = 90.00°
Last column: nearest neighbours and their distance in Å.
Element x y z (fractional)
Dy 0.0002 0.0002 0.2114  2 Pd 2.88-2.96, 1 Sb 3.21
Dy 0.9998 0.9998 0.7886  2 Pd 2.88-2.96, 1 Sb 3.21
Dy 0.0002 0.4998 0.2114  2 Pd 2.88-2.96, 1 Sb 3.21
Dy 0.9998 0.5002 0.7886  2 Pd 2.88-2.96, 1 Sb 3.21
Dy 0.3909 0.2500 0.6017  1 Pd 2.89, 1 Sb 3.16
Dy 0.4298 0.2500 0.1050  1 Pd 2.78
Dy 0.5702 0.7500 0.8950  1 Pd 2.78
Dy 0.6091 0.7500 0.3983  1 Pd 2.89, 1 Sb 3.16
Sb 0.2014 0.7500 0.5446  9 Dy 3.12-3.46
Sb 0.7986 0.2500 0.4554  9 Dy 3.12-3.46
Pd 0.2700 0.7500 0.0724  6 Dy 2.78-2.96
Pd 0.7300 0.2500 0.9276  6 Dy 2.78-2.96

Calculated values
calculated volume: 27.45 Å³ per atom
DOS(E_F): 10.69 states/eV per cell
excess energy over the best structure of this formula in the dataset: 0 meV/atom
M_tot: 0.0 μB/f.u.
total DFT energy (no corrections): -0.194 hartree per atom
energy relative to the elements, uncorrected: -653 meV per atom

=====

Compound: CrSn2PRh
Source: the Alexandria database
Functional: PBE-GGA
Structure: relaxed

a = 4.9901 Å, b = 4.9901 Å, c = 4.2071 Å
α = 90.00°, β = 90.00°, γ = 90.00°
Last column: nearest neighbours and their distance in Å.
Element x y z (fractional)
Cr 0.0000 0.0000 0.0000  2 P 2.10
Sn 0.0000 0.5000 0.0000  2 Cr 2.50
Sn 0.5000 0.0000 0.0000  2 Cr 2.50
P 0.0000 0.0000 0.5000  2 Cr 2.10
Rh 0.5000 0.5000 0.5000  8 Sn 3.26, 4 P 3.53

Calculated values
calculated volume: 20.95 Å³ per atom
DOS(E_F): 4.34 states/eV per cell
energy of formation from the pure elements: 262 kJ/mol of formula units
M_tot: 0.4 μB/f.u.
total DFT energy (no corrections): -0.203 hartree per atom

=====

Compound: CrN2
Source: the Alexandria database
Functional: PBE-GGA
Structure: relaxed

a = 5.4564 Å, b = 5.8293 Å, c = 5.6103 Å
α = 90.00°, β = 108.84°, γ = 90.00°
Last column: nearest neighbours and their distance in Å.
Element x y z (fractional)
Cr 0.0000 0.0000 0.0000  4 N 1.70-1.81
Cr 0.1355 0.5000 0.0236  4 N 1.70-1.81
Cr 0.4114 0.0000 0.6756  4 N 1.63-1.81
Cr 0.6236 0.5000 0.4713  3 N 1.67-1.84
N 0.0701 0.2438 0.1739  2 Cr 1.70-1.81
N 0.0701 0.7562 0.1739  2 Cr 1.70-1.81
N 0.1282 0.0000 0.7498  2 Cr 1.73-1.76
N 0.4710 0.5000 0.1275  2 Cr 1.73-1.84
N 0.4921 0.2665 0.5547  2 Cr 1.67-1.81
N 0.4921 0.7335 0.5547  2 Cr 1.67-1.81
N 0.6525 0.0000 0.9394  2 Cr 1.63-1.81
N 0.9615 0.5000 0.7117  2 Cr 1.70-1.90

Calculated values
calculated volume: 14.07 Å³ per atom
DOS(E_F): 1.83 states/eV per cell
M_tot: 0.0 μB/f.u.
total DFT energy (no corrections): -0.310 hartree per atom
energy relative to the elements, uncorrected: 311 meV per atom

=====

Compound: Sr2ThPa3N8
Source: the Alexandria database
Functional: PBE-GGA
Structure: relaxed

a = 7.1150 Å, b = 7.1150 Å, c = 7.1150 Å
α = 60.39°, β = 60.39°, γ = 60.39°
Last column: nearest neighbours and their distance in Å.
Element x y z (fractional)
Sr 0.0000 0.0000 0.0000  4 N 2.53-2.64
Sr 0.3819 0.3819 0.3819  6 N 2.54-2.62
Th 0.7633 0.7633 0.7633  4 N 2.33-2.45
Pa 0.3792 0.3792 0.8879  6 N 2.21-2.46
Pa 0.3792 0.8879 0.3792  6 N 2.21-2.46
Pa 0.8879 0.3792 0.3792  6 N 2.21-2.46
N 0.1335 0.1335 0.5665  2 Pa 2.21
N 0.1335 0.5665 0.1335  2 Pa 2.21
N 0.1517 0.1517 0.1517  3 Pa 2.31
N 0.1627 0.6403 0.6403  1 Th 2.33, 2 Pa 2.36
N 0.5665 0.1335 0.1335  2 Pa 2.21
N 0.6222 0.6222 0.6222  1 Th 2.45, 3 Pa 2.46
N 0.6403 0.1627 0.6403  1 Th 2.33, 2 Pa 2.36
N 0.6403 0.6403 0.1627  1 Th 2.33, 2 Pa 2.36

Calculated values
calculated volume: 18.35 Å³ per atom
DOS(E_F): 12.31 states/eV per cell
M_tot: 0.0 μB/f.u.
total DFT energy (no corrections): -0.327 hartree per atom
energy relative to the elements, uncorrected: -1346 meV per atom

=====

Compound: Sm6Cd2Hg
Source: the Alexandria database
Functional: PBE-GGA
Structure: relaxed

a = 9.0286 Å, b = 9.0286 Å, c = 5.2023 Å
α = 106.44°, β = 106.44°, γ = 48.67°
Last column: nearest neighbours and their distance in Å.
Element x y z (fractional)
Sm 0.0823 0.5859 0.3346  1 Hg 3.18, 3 Cd 3.21
Sm 0.2475 0.7525 0.0000  2 Hg 3.19, 2 Cd 3.21
Sm 0.4141 0.9177 0.6654  1 Hg 3.18, 3 Cd 3.21
Sm 0.5859 0.0823 0.3346  1 Hg 3.18, 3 Cd 3.21
Sm 0.7525 0.2475 0.0000  2 Hg 3.19, 2 Cd 3.21
Sm 0.9177 0.4141 0.6654  1 Hg 3.18, 3 Cd 3.21
Cd 0.3336 0.3336 0.8343  8 Sm 3.21
Cd 0.6664 0.6664 0.1657  8 Sm 3.21
Hg 0.0000 0.0000 0.5000  8 Sm 3.18-3.19

Calculated values
calculated volume: 33.63 Å³ per atom
DOS(E_F): 16.54 states/eV per cell
excess energy over the best structure of this formula in the dataset: 250 meV/atom
energy of formation from the pure elements: 24 kJ/mol of formula units
M_tot: 0.0 μB/f.u.
total DFT energy (no corrections): -0.123 hartree per atom

=====

Compound: CdFeMo2
Source: the Alexandria database
Functional: PBE-GGA
Structure: relaxed

a = 3.2649 Å, b = 4.5600 Å, c = 8.5983 Å
α = 90.00°, β = 90.00°, γ = 90.00°
Last column: nearest neighbours and their distance in Å.
Element x y z (fractional)
Cd 0.0000 0.0000 0.0000  2 Fe 2.75, 8 Mo 2.81-2.97
Cd 0.5000 0.5000 0.5000  2 Fe 2.75, 8 Mo 2.81-2.97
Fe 0.0000 0.5000 0.2428  6 Mo 2.58-2.82, 2 Cd 2.75
Fe 0.5000 0.0000 0.7428  6 Mo 2.58-2.82, 2 Cd 2.75
Mo 0.0000 0.0000 0.5100  2 Mo 2.57, 2 Fe 2.58, 4 Cd 2.81
Mo 0.0000 0.5000 0.7786  2 Mo 2.57, 4 Fe 2.82
Mo 0.5000 0.0000 0.2786  2 Mo 2.57, 4 Fe 2.82
Mo 0.5000 0.5000 0.0100  2 Mo 2.57, 2 Fe 2.58, 4 Cd 2.81

Calculated values
calculated volume: 16.00 Å³ per atom
DOS(E_F): 5.86 states/eV per cell
energy of formation from the pure elements: 167 kJ/mol of formula units
M_tot: 2.4 μB/f.u.
total DFT energy (no corrections): -0.269 hartree per atom

=====

Compound: NaScB3
Source: the Alexandria database
Functional: PBE-GGA
Structure: relaxed

a = 4.1615 Å, b = 4.1615 Å, c = 4.1615 Å
α = 90.00°, β = 90.00°, γ = 90.00°
Last column: nearest neighbours and their distance in Å.
Element x y z (fractional)
Na 0.0000 0.0000 0.0000  6 B 2.08
Sc 0.5000 0.5000 0.5000  12 B 2.94
B 0.0000 0.0000 0.5000  2 Na 2.08
B 0.0000 0.5000 0.0000  2 Na 2.08
B 0.5000 0.0000 0.0000  2 Na 2.08

Calculated values
calculated volume: 14.41 Å³ per atom
DOS(E_F): 3.90 states/eV per cell
excess energy over the best structure of this formula in the dataset: 295 meV/atom
energy of formation from the pure elements: 986 kJ/mol of formula units
M_tot: 0.0 μB/f.u.
total DFT energy (no corrections): -0.128 hartree per atom

=====

Compound: LiSbSe2
Source: the Alexandria database
Functional: PBE-GGA
Structure: relaxed

a = 7.0509 Å, b = 7.0509 Å, c = 7.0509 Å
α = 90.00°, β = 90.00°, γ = 90.00°
Last column: nearest neighbours and their distance in Å.
Element x y z (fractional)
Li 0.0000 0.0000 0.0000  4 Se 3.05, 4 Sb 3.05
Li 0.0000 0.5000 0.5000  4 Se 3.05, 4 Sb 3.05
Li 0.5000 0.0000 0.5000  4 Se 3.05, 4 Sb 3.05
Li 0.5000 0.5000 0.0000  4 Se 3.05, 4 Sb 3.05
Sb 0.2500 0.2500 0.2500  4 Se 3.05, 4 Li 3.05
Sb 0.2500 0.7500 0.7500  4 Se 3.05, 4 Li 3.05
Sb 0.7500 0.2500 0.7500  4 Se 3.05, 4 Li 3.05
Sb 0.7500 0.7500 0.2500  4 Se 3.05, 4 Li 3.05
Se 0.0000 0.0000 0.5000  4 Se 3.05, 4 Sb 3.05
Se 0.0000 0.5000 0.0000  4 Se 3.05, 4 Sb 3.05
Se 0.2500 0.2500 0.7500  4 Li 3.05, 4 Se 3.05
Se 0.2500 0.7500 0.2500  4 Li 3.05, 4 Se 3.05
Se 0.5000 0.0000 0.0000  4 Se 3.05, 4 Sb 3.05
Se 0.5000 0.5000 0.5000  4 Se 3.05, 4 Sb 3.05
Se 0.7500 0.2500 0.2500  4 Li 3.05, 4 Se 3.05
Se 0.7500 0.7500 0.7500  4 Li 3.05, 4 Se 3.05

Calculated values
calculated volume: 21.91 Å³ per atom
DOS(E_F): 10.57 states/eV per cell
M_tot: 0.0 μB/f.u.
total DFT energy (no corrections): -0.117 hartree per atom
energy relative to the elements, uncorrected: 72 meV per atom

=====

> Which of these has the highest calculated volume?

KPb3

=====

> Look up the M_tot of the tenth one.

0.0 μB/f.u.

=====

Copy entry 7 word for word.
Compound: Sr2ThPa3N8
Source: the Alexandria database
Functional: PBE-GGA
Structure: relaxed

a = 7.1150 Å, b = 7.1150 Å, c = 7.1150 Å
α = 60.39°, β = 60.39°, γ = 60.39°
Last column: nearest neighbours and their distance in Å.
Element x y z (fractional)
Sr 0.0000 0.0000 0.0000  4 N 2.53-2.64
Sr 0.3819 0.3819 0.3819  6 N 2.54-2.62
Th 0.7633 0.7633 0.7633  4 N 2.33-2.45
Pa 0.3792 0.3792 0.8879  6 N 2.21-2.46
Pa 0.3792 0.8879 0.3792  6 N 2.21-2.46
Pa 0.8879 0.3792 0.3792  6 N 2.21-2.46
N 0.1335 0.1335 0.5665  2 Pa 2.21
N 0.1335 0.5665 0.1335  2 Pa 2.21
N 0.1517 0.1517 0.1517  3 Pa 2.31
N 0.1627 0.6403 0.6403  1 Th 2.33, 2 Pa 2.36
N 0.5665 0.1335 0.1335  2 Pa 2.21
N 0.6222 0.6222 0.6222  1 Th 2.45, 3 Pa 2.46
N 0.6403 0.1627 0.6403  1 Th 2.33, 2 Pa 2.36
N 0.6403 0.6403 0.1627  1 Th 2.33, 2 Pa 2.36

Calculated values
calculated volume: 18.35 Å³ per atom
DOS(E_F): 12.31 states/eV per cell
M_tot: 0.0 μB/f.u.
total DFT energy (no corrections): -0.327 hartree per atom
energy relative to the elements, uncorrected: -1346 meV per atom